Record 1
Computed, not measured: an optimized crystal structure of CuAgI2Br6 at the PBE level of DFT.

## Properties
**E_form (uncorrected)**: -0.136 eV/atom
**Energy**: -21.4 eV/cell
**Crystal system**: triclinic

Unit cell a=6.247 b=10.165 c=7.950 alpha=98.64 beta=114.04 gamma=117.65
Positions (direct):
Cu  0.996  0.998  0.980
Ag  0.997  0.498  0.481
I  0.591  0.683  0.236
I  0.402  0.313  0.725
Br  0.483  0.803  0.769
Br  0.510  0.192  0.191
Br  0.065  0.912  0.251
Br  0.136  0.441  0.223
Br  0.858  0.555  0.738
Br  0.928  0.084  0.709



Record 2
Computed, not measured: an optimized crystal structure of InCuAg2Br6 at the PBE level of DFT.

## Properties
**E_form (uncorrected)**: -0.502 eV/atom
**Energy**: -27.6 eV/cell
**Crystal system**: triclinic

Unit cell a=7.143 b=7.156 c=7.869 alpha=54.95 beta=75.31 gamma=60.68
Positions (direct):
In  0.328  0.317  0.027
Cu  0.666  0.857  0.710
Ag  0.666  0.573  0.145
Ag  0.997  0.998  0.002
Br  0.658  0.125  0.291
Br  0.314  0.867  0.256
Br  0.039  0.484  0.261
Br  0.348  0.781  0.785
Br  0.640  0.166  0.773
Br  0.006  0.495  0.765



Record 3
Computed, not measured: an optimized crystal structure of KCu2Ag2Br7 at the PBE level of DFT.

## Properties
**E_form (uncorrected)**: -0.487 eV/atom
**Energy**: -32.5 eV/cell
**Crystal system**: trigonal

Unit cell a=7.250 b=7.250 c=11.639 alpha=71.85 beta=71.85 gamma=60.00
Positions (direct):
K  0.500  0.500  0.500
Cu  0.926  0.926  0.223
Cu  0.074  0.074  0.777
Ag  0.757  0.757  0.730
Ag  0.243  0.243  0.270
Br  0.239  0.883  0.279
Br  0.599  0.239  0.279
Br  0.883  0.599  0.279
Br  0.401  0.117  0.721
Br  0.761  0.401  0.721
Br  0.000  0.000  0.000
Br  0.117  0.761  0.721



Record 4
Computed, not measured: an optimized crystal structure of K3CuAg2Br9 at the PBE level of DFT.

## Properties
**E_form (uncorrected)**: -0.838 eV/atom
**Energy**: -40.7 eV/cell
**Crystal system**: trigonal

Unit cell a=7.532 b=7.532 c=9.255 alpha=90.00 beta=90.00 gamma=120.00
Positions (direct):
K  0.333  0.667  0.666
K  0.000  0.000  0.000
K  0.667  0.333  0.334
Cu  0.000  0.000  0.500
Ag  0.333  0.667  0.173
Ag  0.667  0.333  0.827
Br  0.839  0.161  0.659
Br  0.839  0.678  0.659
Br  0.322  0.161  0.659
Br  0.678  0.839  0.341
Br  0.161  0.322  0.341
Br  0.161  0.839  0.341
Br  0.500  0.000  0.000
Br  0.000  0.500  0.000
Br  0.500  0.500  0.000



Record 5
Computed, not measured: an optimized crystal structure of KCuAg2Br6 at the PBE level of DFT.

## Properties
**E_form (uncorrected)**: -0.543 eV/atom
**Energy**: -52.7 eV/cell
**Crystal system**: monoclinic

Unit cell a=8.787 b=10.265 c=10.265 alpha=71.71 beta=65.90 gamma=65.90
Positions (direct):
K  0.250  0.739  0.261
K  0.750  0.261  0.739
Cu  0.250  0.184  0.816
Cu  0.750  0.816  0.184
Ag  0.347  0.793  0.637
Ag  0.153  0.363  0.207
Ag  0.653  0.207  0.363
Ag  0.847  0.637  0.793
Br  0.149  0.037  0.755
Br  0.351  0.245  0.963
Br  0.851  0.963  0.245
Br  0.649  0.755  0.037
Br  0.460  0.897  0.344
Br  0.040  0.656  0.103
Br  0.540  0.103  0.656
Br  0.960  0.344  0.897
Br  0.076  0.764  0.609
Br  0.424  0.391  0.236
Br  0.924  0.236  0.391
Br  0.576  0.609  0.764



Record 6
Computed, not measured: an optimized crystal structure of KCuAgBr5 at the PBE level of DFT.

## Properties
**E_form (uncorrected)**: -0.607 eV/atom
**Energy**: -42.5 eV/cell
**Crystal system**: monoclinic

Unit cell a=7.934 b=7.934 c=9.677 alpha=101.26 beta=101.26 gamma=116.83
Positions (direct):
K  0.327  0.673  0.250
K  0.673  0.327  0.750
Cu  0.660  0.340  0.250
Cu  0.340  0.660  0.750
Ag  0.000  0.000  0.500
Ag  0.000  0.000  0.000
Br  0.075  0.925  0.250
Br  0.925  0.075  0.750
Br  0.838  0.292  0.088
Br  0.162  0.708  0.912
Br  0.708  0.162  0.412
Br  0.292  0.838  0.588
Br  0.709  0.624  0.436
Br  0.291  0.376  0.564
Br  0.376  0.291  0.064
Br  0.624  0.709  0.936